Here is a relaxed BaMnN2O crystal from Alexandria via LeMat-Bulk. Energies are from GGA-PBEsol.

E_form (uncorrected) (eV/atom): 1.675
SG: P4/mmm, No. 123

Unit cell a=4.528 b=4.528 c=4.399 alpha=90.00 beta=90.00 gamma=90.00
Positions (direct):
Ba 0.000 0.000 0.000
Mn 0.500 0.500 0.500
N 0.000 0.500 0.000
N 0.500 0.000 0.000
O 0.000 0.000 0.500

Here is a relaxed Ba2MnRhN crystal from Alexandria via LeMat-Bulk. Energies are from GGA-PBEsol.

E_form (uncorrected) (eV/atom): 0.905
SG: P4/mmm, No. 123

Unit cell a=5.767 b=5.767 c=4.643 alpha=90.00 beta=90.00 gamma=90.00
Positions (direct):
Ba 0.000 0.500 0.000
Ba 0.500 0.000 0.000
Mn 0.000 0.000 0.500
Rh 0.000 0.000 0.000
N 0.500 0.500 0.500

Here is a relaxed BaMnTe2N crystal from Alexandria via LeMat-Bulk. Energies are from GGA-PBEsol.

E_form (uncorrected) (eV/atom): -0.445
SG: P4/mmm, No. 123

Unit cell a=5.723 b=5.723 c=3.603 alpha=90.00 beta=90.00 gamma=90.00
Positions (direct):
Ba 0.000 0.000 0.000
Mn 0.500 0.500 0.500
Te 0.000 0.500 0.500
Te 0.500 0.000 0.500
N 0.500 0.500 0.000

Here is a relaxed Ba4NaMn2O9 crystal from Alexandria via LeMat-Bulk. Energies are from GGA-PBEsol.

E_form (uncorrected) (eV/atom): -2.280
SG: P321, No. 150

Unit cell a=9.961 b=9.961 c=8.209 alpha=90.00 beta=90.00 gamma=120.00
Positions (direct):
Ba 0.000 0.645 0.000
Ba 0.000 0.674 0.500
Ba 0.024 0.337 0.255
Ba 0.313 0.976 0.255
Ba 0.326 0.326 0.500
Ba 0.337 0.024 0.745
Ba 0.355 0.355 0.000
Ba 0.645 0.000 0.000
Ba 0.663 0.687 0.255
Ba 0.674 0.000 0.500
Ba 0.687 0.663 0.745
Ba 0.976 0.313 0.745
Na 0.000 0.000 0.000
Na 0.333 0.667 0.754
Na 0.667 0.333 0.246
Mn 0.000 0.000 0.339
Mn 0.000 0.000 0.661
Mn 0.333 0.667 0.092
Mn 0.333 0.667 0.418
Mn 0.667 0.333 0.582
Mn 0.667 0.333 0.908
O 0.000 0.144 0.500
O 0.008 0.846 0.779
O 0.144 0.000 0.500
O 0.154 0.162 0.779
O 0.162 0.154 0.221
O 0.182 0.510 0.532
O 0.182 0.656 0.254
O 0.183 0.505 0.973
O 0.322 0.817 0.973
O 0.328 0.818 0.532
O 0.344 0.525 0.254
O 0.475 0.818 0.254
O 0.490 0.672 0.532
O 0.495 0.678 0.973
O 0.505 0.183 0.027
O 0.510 0.182 0.468
O 0.525 0.344 0.746
O 0.656 0.182 0.746
O 0.672 0.490 0.468
O 0.678 0.495 0.027
O 0.817 0.322 0.027
O 0.818 0.328 0.468
O 0.818 0.475 0.746
O 0.838 0.992 0.779
O 0.846 0.008 0.221
O 0.856 0.856 0.500
O 0.992 0.838 0.221

Here is a relaxed BaNa2SrMn crystal from Alexandria via LeMat-Bulk. Energies are from GGA-PBEsol.

DFT formation energy (eV per atom): 1.258
SG: P4/mmm, No. 123

Unit cell a=6.159 b=6.159 c=6.994 alpha=90.00 beta=90.00 gamma=90.00
Positions (direct):
Ba 0.000 0.000 0.000
Na 0.000 0.500 0.500
Na 0.500 0.000 0.500
Sr 0.000 0.000 0.500
Mn 0.500 0.500 0.000

Here is a relaxed Ba2NaZrMn crystal from Alexandria via LeMat-Bulk. Energies are from GGA-PBEsol.

DFT formation energy (eV per atom): 1.380
SG: P4/mmm, No. 123

Unit cell a=6.005 b=6.005 c=5.057 alpha=90.00 beta=90.00 gamma=90.00
Positions (direct):
Ba 0.000 0.500 0.000
Ba 0.500 0.000 0.000
Na 0.000 0.000 0.000
Zr 0.500 0.500 0.500
Mn 0.000 0.000 0.500

Here is a relaxed BaMnNb2 crystal from Alexandria via LeMat-Bulk. Energies are from GGA-PBEsol.

DFT formation energy (eV per atom): 1.098
SG: Fm-3m, No. 225

Unit cell a=4.752 b=4.752 c=4.752 alpha=60.00 beta=60.00 gamma=60.00
Positions (direct):
Ba 0.000 0.000 0.000
Mn 0.500 0.500 0.500
Nb 0.250 0.250 0.250
Nb 0.750 0.750 0.750

Here is a relaxed BaMnNb3 crystal from Alexandria via LeMat-Bulk. Energies are from GGA-PBEsol.

DFT formation energy (eV per atom): 0.906
SG: Pm-3m, No. 221

Unit cell a=4.773 b=4.773 c=4.773 alpha=90.00 beta=90.00 gamma=90.00
Positions (direct):
Ba 0.000 0.000 0.000
Mn 0.500 0.500 0.500
Nb 0.000 0.500 0.500
Nb 0.500 0.000 0.500
Nb 0.500 0.500 0.000

DOS(E_F) for every record listed, in sequence, given in states/eV per atom: 0.9688 0.7645 0.2734 0.5711 1.3426 2.0557 1.1899 1.4290.
M_tot for every record listed, in sequence, given in μB/f.u.: 4.15 5.67 1.96 5.00 3.68 5.85 1.29 0.00.